VASP calculation (SCAN) on ScAlC2I at its PBEsol-relaxed geometry.

Calculated values
**DOS(E_F)**: 4.4 states/eV/cell
**Energy relative to the elements, uncorrected**: 1.873 eV/atom
**Final energy**: -13.91 eV/atom

Lattice parameters (Å, degrees): 4.2348 4.2348 5.9262 90.00 90.00 90.00
Space group P4/mmm (No. 123)
Asymmetric unit:
Sc: 0.0000 0.0000 0.0000 (multiplicity 1)
Al: 0.0000 0.0000 0.5000 (multiplicity 1)
C: 0.0000 0.5000 0.0000 (multiplicity 2)
I: 0.5000 0.5000 0.5000 (multiplicity 1)

***

VASP calculation (SCAN) on TlZn2Cr at its PBEsol-relaxed geometry.

Calculated values
**Offset from the most stable computed form**: 0.019 eV per atom
**DOS(E_F)**: 1.7 states/eV/cell
**Formation energy**: 0.231 eV/atom
**Final energy**: -29.21 eV/atom

Lattice parameters (Å, degrees): 3.1996 3.1996 6.6120 90.00 90.00 90.00
Space group P4mm (No. 99)
Asymmetric unit:
Tl: 0.0000 0.0000 0.0000 (multiplicity 1)
Zn: 0.0000 0.0000 0.5017 (multiplicity 1)
Zn: 0.5000 0.5000 0.2982 (multiplicity 1)
Cr: 0.5000 0.5000 0.7135 (multiplicity 1)

***

VASP calculation (SCAN) on TcTeIN2 at its PBEsol-relaxed geometry.

Calculated values
**DOS(E_F)**: 3.4 states/eV/cell
**Energy relative to the elements, uncorrected**: 1.891 eV/atom
**Final energy**: -23.64 eV/atom

Lattice parameters (Å, degrees): 3.9636 3.9636 6.6223 90.00 90.00 90.00
Space group P4/mmm (No. 123)
Asymmetric unit:
Tc: 0.0000 0.0000 0.0000 (multiplicity 1)
Te: 0.5000 0.5000 0.5000 (multiplicity 1)
I: 0.5000 0.5000 0.0000 (multiplicity 1)
N: 0.0000 0.5000 0.5000 (multiplicity 2)

***

VASP calculation (SCAN) on YEr at its PBEsol-relaxed geometry.

Calculated values
**DOS(E_F)**: 3.4 states/eV/cell
**Formation energy**: 0.012 eV/atom
**Final energy**: -39.08 eV/atom

Lattice parameters (Å, degrees): 3.5483 3.5483 5.5185 90.00 90.00 120.00
Space group P-6m2 (No. 187)
Asymmetric unit:
Y: 0.0000 0.0000 0.0000 (multiplicity 1)
Er: 0.6667 0.3333 0.5000 (multiplicity 1)

***

VASP calculation (SCAN) on NiMoPt2 at its PBEsol-relaxed geometry.

Calculated values
**Offset from the most stable computed form**: 0.000 eV per atom
**DOS(E_F)**: 5.6 states/eV/cell
**Formation energy**: -0.310 eV/atom
**Final energy**: -48.17 eV/atom

Lattice parameters (Å, degrees): 3.7758 3.7758 7.7480 90.00 90.00 90.00
Space group I4/mmm (No. 139)
Asymmetric unit:
Ni: 0.0000 0.0000 0.0000 (multiplicity 2)
Mo: 0.0000 0.0000 0.5000 (multiplicity 2)
Pt: 0.0000 0.5000 0.2500 (multiplicity 4)

***

VASP calculation (SCAN) on Mg4Cd5 at its PBEsol-relaxed geometry.

Calculated values
**Offset from the most stable computed form**: 0.000 eV per atom
**DOS(E_F)**: 5.8 states/eV/cell
**Formation energy**: -0.106 eV/atom
**Final energy**: -19.21 eV/atom

Lattice parameters (Å, degrees): 9.2275 9.2275 4.4361 90.00 90.00 90.00
Space group I4/mmm (No. 139)
Asymmetric unit:
Mg: 0.0000 0.3258 0.0000 (multiplicity 8)
Cd: 0.0000 0.0000 0.0000 (multiplicity 2)
Cd: 0.1672 0.1672 0.5000 (multiplicity 8)

***

VASP calculation (SCAN) on MnRuN2F at its PBEsol-relaxed geometry.

Calculated values
**Offset from the most stable computed form**: 0.000 eV per atom
**DOS(E_F)**: 2.4 states/eV/cell
**Energy relative to the elements, uncorrected**: 0.083 eV/atom
**Final energy**: -14.96 eV/atom

Lattice parameters (Å, degrees): 3.7791 3.7791 4.1302 90.00 90.00 90.00
Space group P4/mmm (No. 123)
Asymmetric unit:
Mn: 0.0000 0.0000 0.0000 (multiplicity 1)
Ru: 0.5000 0.5000 0.5000 (multiplicity 1)
N: 0.0000 0.5000 0.5000 (multiplicity 2)
F: 0.5000 0.5000 0.0000 (multiplicity 1)

***

VASP calculation (SCAN) on Al2CrRu at its PBEsol-relaxed geometry.

Calculated values
**DOS(E_F)**: 7.1 states/eV/cell
**Formation energy**: -0.116 eV/atom
**Final energy**: -17.29 eV/atom

Lattice parameters (Å, degrees): 2.7365 2.7365 25.3437 90.00 90.00 120.00
Space group R3m (No. 160, hexagonal axes)
Asymmetric unit:
Al: 0.0000 0.0000 0.0000 (multiplicity 3)
Al: 0.0000 0.0000 0.2397 (multiplicity 3)
Cr: 0.0000 0.0000 0.4919 (multiplicity 3)
Ru: 0.0000 0.0000 0.7497 (multiplicity 3)

***

Question: The highest final energy belongs to which entry?
Answer: ScAlC2I

***

Question: Among the records above, which one has the highest DOS(E_F)?
Answer: Al2CrRu

***

Question: Which value of final energy does entry 3 give?
Answer: -23.64 eV/atom

***

Question: The highest DOS(E_F) belongs to which entry?
Answer: Al2CrRu